[1]
A plane-wave DFT calculation with PBE was carried out for a relaxed La3TlO crystal.

a = 12.0673 Å, b = 5.3109 Å, c = 9.1280 Å
α = 90.00°, β = 112.76°, γ = 90.00°
With the nearest neighbours (Å) after each atom.
Space group C2/m (No. 12)
Unique sites:
1 La 0.1084 0.0000 0.1910 [4 per cell]  2 O 2.51-2.57
2 La 0.1421 0.5000 0.9289 [4 per cell]  3 O 2.63-2.66
3 La 0.1447 0.0000 0.6590 [4 per cell]  1 O 2.53
4 Tl 0.0997 0.5000 0.4240 [4 per cell]  1 Tl 3.21, 6 La 3.32-3.45
5 O 0.1224 0.0000 0.9236 [4 per cell]  6 La 2.51-2.66

Output
Volume ... 26.97 Å³/atom
Density ... 7.84 g/cm³
ΔE_f (raw) ... -6.4 eV per formula unit
Total magnetic moment ... 0.00 μB/atom


[2]
A plane-wave DFT calculation with PBE was carried out for a relaxed La3TlO crystal.

a = 13.5670 Å, b = 13.5670 Å, c = 13.5670 Å
α = 90.00°, β = 90.00°, γ = 90.00°
With the nearest neighbours (Å) after each atom.
Space group Fd-3m (No. 227, origin choice 2)
Unique sites:
1 La 0.0657 0.3750 0.3750 [48 per cell]  2 O 2.56
2 Tl 0.0000 0.0000 0.5000 [16 per cell]  6 La 3.46
3 O 0.0000 0.0000 0.0000 [16 per cell]  6 La 2.56

Output
Volume ... 31.21 Å³/atom
Density ... 6.78 g/cm³
ΔE_f (raw) ... -4.8 eV per formula unit
Total magnetic moment ... 0.00 μB/atom


[3]
A plane-wave DFT calculation with PBE was carried out for a relaxed La2TlO crystal.

a = 3.8141 Å, b = 3.8141 Å, c = 24.3064 Å
α = 90.00°, β = 90.00°, γ = 120.00°
With the nearest neighbours (Å) after each atom.
Space group R-3m (No. 166, hexagonal axes)
Unique sites:
1 La 0.0000 0.0000 0.2234 [6 per cell]  3 O 2.60
2 Tl 0.0000 0.0000 0.0000 [3 per cell]  6 La 3.46, 6 Tl 3.81
3 O 0.0000 0.0000 0.5000 [3 per cell]  6 La 2.60

Output
Excess energy over the best structure of this formula in the dataset ... 68 meV/atom
Volume ... 25.52 Å³/atom
Density ... 8.10 g/cm³
ΔE_f (raw) ... -6.1 eV per formula unit
Total magnetic moment ... 0.00 μB/atom


[4]
A plane-wave DFT calculation with PBE was carried out for a relaxed La3TlO crystal.

a = 5.4443 Å, b = 5.4443 Å, c = 25.3804 Å
α = 90.00°, β = 90.00°, γ = 90.00°
With the nearest neighbours (Å) after each atom.
Space group I-4m2 (No. 119)
Unique sites:
1 La 0.0000 0.0000 0.1925 [4 per cell]  2 O 2.86, 2 Tl 3.09
2 La 0.0000 0.2449 0.6229 [8 per cell]  2 La 2.67-2.78
3 Tl 0.0000 0.0000 0.5000 [2 per cell]  4 La 3.39
4 Tl 0.0000 0.5000 0.7500 [2 per cell]  4 La 3.09
5 O 0.0000 0.5000 0.1577 [4 per cell]  6 La 2.86-3.16

Output
Volume ... 37.61 Å³/atom
Density ... 5.63 g/cm³
ΔE_f (raw) ... -0.1 eV per formula unit
Total magnetic moment ... 0.00 μB/atom


[5]
A plane-wave DFT calculation with PBE was carried out for a relaxed La2TlO crystal.

a = 7.4556 Å, b = 7.4556 Å, c = 7.4556 Å
α = 90.00°, β = 90.00°, γ = 90.00°
With the nearest neighbours (Å) after each atom.
Space group Fm-3m (No. 225)
Unique sites:
1 La 0.2500 0.2500 0.2500 [8 per cell]  4 O 3.23, 4 Tl 3.23
2 Tl 0.0000 0.0000 0.0000 [4 per cell]  8 La 3.23
3 O 0.0000 0.0000 0.5000 [4 per cell]  8 La 3.23

Output
Excess energy over the best structure of this formula in the dataset ... 1038 meV/atom
Volume ... 25.90 Å³/atom
Density ... 7.98 g/cm³
ΔE_f (raw) ... -2.2 eV per formula unit
Total magnetic moment ... 0.00 μB/atom


[6]
A plane-wave DFT calculation with PBE was carried out for a relaxed LaTlO3 crystal.

a = 3.7516 Å, b = 3.7516 Å, c = 13.0507 Å
α = 90.00°, β = 90.00°, γ = 120.00°
With the nearest neighbours (Å) after each atom.
Space group P6_3mc (No. 186)
Unique sites:
1 La 0.0000 0.0000 0.0000 [2 per cell]  3 O 2.26
2 Tl 0.3333 0.6667 0.2689 [2 per cell]  3 O 2.30
3 O 0.0000 0.0000 0.2096 [2 per cell]  3 Tl 2.30
4 O 0.3333 0.6667 0.5505 [2 per cell]  3 La 2.26
5 O 0.3333 0.6667 0.8778 [2 per cell]  3 Tl 2.59, 3 La 2.69

Output
Volume ... 15.91 Å³/atom
Density ... 8.17 g/cm³
ΔE_f (raw) ... -9.6 eV per formula unit
Total magnetic moment ... 0.00 μB/atom